Compound: Sc2TlZn
Source: the Alexandria database
Functional: PBE
Structure: relaxed

Cell lengths 3.3763, 4.3722, 6.0400 Å; angles 90.00, 90.00, 90.00 degrees
Space group Pmm2 (No. 25)
Inequivalent atoms, fractional coordinates:
Sc 0.0000 0.0000 0.0000
Sc 0.5000 0.5000 0.2909
Tl 0.0000 0.0000 0.5118
Zn 0.5000 0.5000 0.8125

Values from the calculation:
DFT formation energy: -115 meV/atom

=====

Compound: LaCe3Co3
Source: the Alexandria database
Functional: PBE
Structure: relaxed

Cell lengths 8.2745, 4.6334, 8.5668 Å; angles 90.00, 112.17, 90.00 degrees
Space group P2_1/m (No. 11)
Inequivalent atoms, fractional coordinates:
La 0.1879 0.2500 0.3204
Ce 0.1695 0.2500 0.7970
Ce 0.3366 0.7500 0.0843
Ce 0.3524 0.7500 0.6564
Co 0.0260 0.2500 0.9660
Co 0.0647 0.7500 0.5290
Co 0.4706 0.7500 0.3744

Values from the calculation:
DFT formation energy: -150 meV/atom

=====

Compound: ScGaSn2B
Source: the Alexandria database
Functional: PBE
Structure: relaxed

Cell lengths 5.6325, 5.6325, 3.7071 Å; angles 90.00, 90.00, 90.00 degrees
Space group P4/mmm (No. 123)
Inequivalent atoms, fractional coordinates:
Sc 0.0000 0.0000 0.0000
Ga 0.5000 0.5000 0.5000
Sn 0.0000 0.5000 0.5000
B 0.5000 0.5000 0.0000

Values from the calculation:
DFT formation energy: 540 meV/atom

=====

Compound: Er3Be3B8
Source: the Alexandria database
Functional: PBE
Structure: relaxed

Cell lengths 3.1794, 6.9930, 13.2181 Å; angles 90.00, 90.00, 90.00 degrees
Space group Immm (No. 71)
Inequivalent atoms, fractional coordinates:
Er 0.0000 0.0000 0.0000
Er 0.0000 0.0000 0.2784
Be 0.0000 0.1971 0.5000
Be 0.0000 0.5000 0.0000
B 0.0000 0.2624 0.1224
B 0.0000 0.3523 0.3706

Values from the calculation:
DFT formation energy: -242 meV/atom

=====

Compound: CeScPt2
Source: the Alexandria database
Functional: PBE
Structure: relaxed

Cell lengths 3.4099, 6.8857, 7.6329 Å; angles 90.00, 90.00, 90.00 degrees
Space group Amm2 (No. 38)
Inequivalent atoms, fractional coordinates:
Ce 0.0000 0.0000 0.0000
Sc 0.5000 0.0000 0.5768
Pt 0.5000 0.2096 0.2883

Values from the calculation:
DFT formation energy: -802 meV/atom

=====

Compound: Ba2IrCl
Source: the Alexandria database
Functional: PBE
Structure: relaxed

Cell lengths 7.8616, 7.8603, 3.7293 Å; angles 90.00, 90.13, 90.00 degrees
Space group C2/m (No. 12)
Inequivalent atoms, fractional coordinates:
Ba 0.2500 0.2500 0.0000
Ir 0.0000 0.0000 0.5000
Cl 0.0000 0.5000 0.5000

Values from the calculation:
ΔE_f (raw): -0.8135 eV per atom

=====

Compound: Be2Te
Source: the Alexandria database
Functional: PBE
Structure: relaxed

Cell lengths 4.7702, 4.7702, 4.8914 Å; angles 90.00, 90.00, 120.00 degrees
Space group P6_3/mmc (No. 194)
Inequivalent atoms, fractional coordinates:
Be 0.0000 0.0000 0.0000
Be 0.3333 0.6667 0.2500
Te 0.3333 0.6667 0.7500

Values from the calculation:
ΔE_f (raw): 0.7598 eV per atom

=====

Compound: Na2RePI
Source: the Alexandria database
Functional: PBE
Structure: relaxed

Cell lengths 5.4500, 5.4500, 5.2117 Å; angles 90.00, 90.00, 90.00 degrees
Space group P4/mmm (No. 123)
Inequivalent atoms, fractional coordinates:
Na 0.0000 0.5000 0.0000
Re 0.0000 0.0000 0.5000
P 0.5000 0.5000 0.5000
I 0.0000 0.0000 0.0000

Values from the calculation:
ΔE_f (raw): 1.2999 eV per atom

=====

Compound: PmTm12Sc6
Source: the Alexandria database
Functional: PBE
Structure: relaxed

Cell lengths 14.3938, 14.3938, 9.8600 Å; angles 90.00, 90.00, 120.00 degrees
Space group R-3m (No. 166, hexagonal axes)
Inequivalent atoms, fractional coordinates:
Pm 0.0000 0.0000 0.0000
Tm 0.0000 0.3873 0.5000
Tm 0.0756 0.1513 0.2978
Sc 0.0570 0.5285 0.2205

Values from the calculation:
DFT formation energy: 428 meV/atom

=====

Compound: Al2CdSbO6
Source: the Alexandria database
Functional: PBE
Structure: relaxed

Cell lengths 9.9834, 9.4783, 5.4945 Å; angles 90.00, 101.53, 90.00 degrees
Space group C2/c (No. 15)
Inequivalent atoms, fractional coordinates:
Al 0.1998 0.0893 0.2773
Cd 0.0000 0.4116 0.2500
Sb 0.0000 0.2162 0.7500
O 0.1144 0.2328 0.1059
O 0.1173 0.3822 0.6585
O 0.1589 0.0609 0.5774

Values from the calculation:
ΔE_f (raw): -2.0261 eV per atom

=====

Compound: Be2TcRu2
Source: the Alexandria database
Functional: PBE
Structure: relaxed

Cell lengths 6.6639, 6.6639, 2.7439 Å; angles 90.00, 90.00, 90.00 degrees
Space group P4/mbm (No. 127)
Inequivalent atoms, fractional coordinates:
Be 0.1612 0.3388 0.0000
Tc 0.0000 0.0000 0.5000
Ru 0.1363 0.6363 0.5000

Values from the calculation:
DFT formation energy: 151 meV/atom

=====

Compound: SmZrTl2Se4
Source: the Alexandria database
Functional: PBE
Structure: relaxed

Cell lengths 7.0616, 4.0150, 8.2714 Å; angles 90.00, 105.39, 90.00 degrees
Space group P2/m (No. 10)
Inequivalent atoms, fractional coordinates:
Sm 0.0000 0.0000 0.0000
Zr 0.5000 0.5000 0.0000
Tl 0.0000 0.5000 0.5000
Tl 0.5000 0.0000 0.5000
Se 0.2517 0.5000 0.2086
Se 0.2856 0.0000 0.7994

Values from the calculation:
ΔE_f (raw): -1.1455 eV per atom

=====

Compound: BaAuBr
Source: the Alexandria database
Functional: PBE
Structure: relaxed

Cell lengths 4.2953, 4.2953, 10.4557 Å; angles 90.00, 90.00, 90.00 degrees
Space group I4mm (No. 107)
Inequivalent atoms, fractional coordinates:
Ba 0.0000 0.0000 0.0000
Au 0.0000 0.0000 0.6551
Br 0.0000 0.0000 0.3360

Values from the calculation:
ΔE_f (raw): -1.1845 eV per atom

=====

Compound: CeBe2GaAu4
Source: the Alexandria database
Functional: PBE
Structure: relaxed

Cell lengths 4.1783, 4.1783, 28.6496 Å; angles 90.00, 90.00, 120.00 degrees
Space group R-3m (No. 166, hexagonal axes)
Inequivalent atoms, fractional coordinates:
Ce 0.0000 0.0000 0.0000
Be 0.0000 0.0000 0.2456
Ga 0.0000 0.0000 0.5000
Au 0.0000 0.0000 0.1226
Au 0.0000 0.0000 0.3985

Values from the calculation:
DFT formation energy: -240 meV/atom

=====

Compound: Tb4Sm3Dy5
Source: the Alexandria database
Functional: PBE
Structure: relaxed

Cell lengths 6.1797, 7.1367, 8.7355 Å; angles 90.04, 90.14, 90.16 degrees
Space group P-1 (No. 2)
Inequivalent atoms, fractional coordinates:
Tb 0.1669 0.0001 0.1674
Tb 0.3325 0.2495 0.8333
Sm 0.3333 0.7502 0.8334
Sm 0.5000 0.5000 0.5000
Dy 0.0007 0.2496 0.5001
Dy 0.1658 0.5002 0.1672
Dy 0.5000 0.0000 0.5000

Values from the calculation:
DFT formation energy: 15 meV/atom

=====

Compound: CsCr3B
Source: the Alexandria database
Functional: PBE
Structure: relaxed

Cell lengths 5.1584, 5.1584, 5.1584 Å; angles 90.00, 90.00, 90.00 degrees
Space group Pm-3m (No. 221)
Inequivalent atoms, fractional coordinates:
Cs 0.0000 0.0000 0.0000
Cr 0.0000 0.0000 0.5000
B 0.5000 0.5000 0.5000

Values from the calculation:
DFT formation energy: 3391 meV/atom

=====

Compound: Pm2Y12Ho
Source: the Alexandria database
Functional: PBE
Structure: relaxed

Cell lengths 7.0817, 11.3937, 24.8561 Å; angles 90.00, 90.00, 90.00 degrees
Space group Cmme (No. 67)
Inequivalent atoms, fractional coordinates:
Pm 0.0000 0.2500 0.2304
Pm 0.0000 0.2500 0.7649
Y 0.0000 0.9996 0.4236
Y 0.0000 0.0149 0.0607
Y 0.2384 0.2500 0.9150
Y 0.2500 0.0000 0.1728
Y 0.2500 0.0000 0.3016
Y 0.2495 0.2500 0.3739
Ho 0.0000 0.2500 0.4999

Values from the calculation:
DFT formation energy: 169 meV/atom

=====

Compound: AcB2N2
Source: the Alexandria database
Functional: PBE
Structure: relaxed

Cell lengths 4.0023, 4.0023, 6.1793 Å; angles 90.00, 90.00, 120.00 degrees
Space group P-3m1 (No. 164)
Inequivalent atoms, fractional coordinates:
Ac 0.0000 0.0000 0.0000
B 0.3333 0.6667 0.4093
N 0.3333 0.6667 0.1946

Values from the calculation:
ΔE_f (raw): -0.2879 eV per atom

=====

Compound: CdC2Cl
Source: the Alexandria database
Functional: PBE
Structure: relaxed

Cell lengths 6.0801, 6.0801, 6.0801 Å; angles 90.00, 90.00, 90.00 degrees
Space group Fm-3m (No. 225)
Inequivalent atoms, fractional coordinates:
Cd 0.0000 0.0000 0.0000
C 0.2500 0.2500 0.2500
Cl 0.0000 0.0000 0.5000

Values from the calculation:
ΔE_f (raw): 2.8082 eV per atom

=====

Compound: Na2PtI
Source: the Alexandria database
Functional: PBE
Structure: relaxed

Cell lengths 8.3517, 8.3517, 5.8770 Å; angles 90.00, 90.00, 90.00 degrees
Space group I-42d (No. 122)
Inequivalent atoms, fractional coordinates:
Na 0.2163 0.2500 0.1250
Pt 0.0000 0.0000 0.0000
I 0.0000 0.0000 0.5000

Values from the calculation:
ΔE_f (raw): -0.2331 eV per atom

=====

Compound: Hf5ZrGa3
Source: the Alexandria database
Functional: PBE
Structure: relaxed

Cell lengths 8.3536, 8.3536, 5.8410 Å; angles 90.00, 90.00, 120.00 degrees
Space group P6_3/mcm (No. 193)
Inequivalent atoms, fractional coordinates:
Hf 0.0000 0.3339 0.2500
Hf 0.3333 0.6667 0.0000
Zr 0.0000 0.0000 0.0000
Ga 0.0000 0.3335 0.7500

Values from the calculation:
DFT formation energy: -347 meV/atom

=====

Compound: CsZn2GeS4
Source: the Alexandria database
Functional: PBE
Structure: relaxed

Cell lengths 9.2602, 9.4468, 9.3102 Å; angles 90.00, 90.00, 90.00 degrees
Space group Fmm2 (No. 42)
Inequivalent atoms, fractional coordinates:
Cs 0.0000 0.0000 0.0000
Zn 0.2500 0.2500 0.2472
Ge 0.0000 0.0000 0.5051
S 0.0000 0.1866 0.3484
S 0.1909 0.0000 0.6626

Values from the calculation:
ΔE_f (raw): -0.4847 eV per atom

=====

Compound: SrFeCu2
Source: the Alexandria database
Functional: PBE
Structure: relaxed

Cell lengths 4.7647, 4.7647, 16.3682 Å; angles 90.00, 90.00, 90.00 degrees
Space group I4_1/amd (No. 141, origin choice 2)
Inequivalent atoms, fractional coordinates:
Sr 0.0000 0.2500 0.3750
Fe 0.0000 0.2500 0.8750
Cu 0.0000 0.0000 0.0000

Values from the calculation:
DFT formation energy: 422 meV/atom

=====

| no. | V (Å³/f.u.) |
| --- | --- |
| 1 | 89.2 |
| 2 | 152.1 |
| 3 | 117.6 |
| 4 | 146.9 |
| 5 | 89.6 |
| 6 | 115.2 |
| 7 | 48.2 |
| 8 | 154.8 |
| 9 | 589.7 |
| 10 | 127.4 |
| 11 | 60.9 |
| 12 | 226.1 |
| 13 | 96.5 |
| 14 | 144.4 |
| 15 | 385.3 |
| 16 | 137.3 |
| 17 | 501.4 |
| 18 | 85.7 |
| 19 | 56.2 |
| 20 | 102.5 |
| 21 | 176.5 |
| 22 | 203.6 |
| 23 | 92.9 |